[1]
# YPuZnFe | the Alexandria database | GGA-PBE | optimized geometry
data_YPuZnFe
_chemical_formula_sum 'Y4 Pu4 Zn4 Fe4'
_cell_length_a 6.947
_cell_length_b 6.947
_cell_length_c 6.947
_cell_angle_alpha 90.00
_cell_angle_beta 90.00
_cell_angle_gamma 90.00
_symmetry_space_group_name_H-M 'F -4 3 m'
_symmetry_Int_Tables_number 216
_symmetry_space_group_name_Hall 'F -4 2 3'
loop_
_atom_site_label
_atom_site_type_symbol
_atom_site_fract_x
_atom_site_fract_y
_atom_site_fract_z
_atom_site_occupancy
Y1 Y 0.000 0.000 0.000 1
Pu1 Pu 0.000 0.000 0.500 1
Zn1 Zn 0.250 0.250 0.250 1
Fe1 Fe 0.250 0.250 0.750 1
# - total magnetization (μB/f.u.) = 3.8
# - uncorrected energy (eV per cell) = -121.7
# - ΔH_f (0 K) (eV/atom) = 0.028


[2]
# Ni2HgAs2 | the Alexandria database | GGA-PBE | optimized geometry
data_Ni2HgAs2
_chemical_formula_sum 'Ni4 Hg2 As4'
_cell_length_a 7.240
_cell_length_b 7.240
_cell_length_c 3.088
_cell_angle_alpha 90.00
_cell_angle_beta 90.00
_cell_angle_gamma 90.00
_symmetry_space_group_name_H-M 'P 4/m b m'
_symmetry_Int_Tables_number 127
_symmetry_space_group_name_Hall '-P 4 2ab'
loop_
_atom_site_label
_atom_site_type_symbol
_atom_site_fract_x
_atom_site_fract_y
_atom_site_fract_z
_atom_site_occupancy
Ni1 Ni 0.127 0.373 0.000 1
Hg1 Hg 0.000 0.000 0.000 1
As1 As 0.147 0.647 0.500 1
# - total magnetization (μB/f.u.) = 0.0
# - uncorrected energy (eV per cell) = -41.7
# - ΔH_f (0 K) (eV/atom) = 0.065
# - distance to the lowest polymorph of the same formula (eV per formula unit) = 0.33


[3]
# Ce3CuGe2Au6 | the Alexandria database | GGA-PBE | optimized geometry
data_Ce3CuGe2Au6
_chemical_formula_sum 'Ce3 Cu1 Ge2 Au6'
_cell_length_a 6.2432
_cell_length_b 6.2432
_cell_length_c 8.1655
_cell_angle_alpha 90.00
_cell_angle_beta 90.00
_cell_angle_gamma 120.00
_symmetry_space_group_name_H-M 'P -3 m 1'
_symmetry_Int_Tables_number 164
_symmetry_space_group_name_Hall '-P 3 2"'
loop_
_atom_site_label
_atom_site_type_symbol
_atom_site_fract_x
_atom_site_fract_y
_atom_site_fract_z
_atom_site_occupancy
Ce1 Ce 0.0000 0.0000 0.0000 1
Ce2 Ce 0.3333 0.6667 0.6501 1
Cu1 Cu 0.0000 0.0000 0.5000 1
Ge1 Ge 0.3333 0.6667 0.0402 1
Au1 Au 0.1765 0.3530 0.2903 1
# - total magnetization (μB/f.u.) = 3.1
# - uncorrected energy (eV per cell) = -54.9
# - ΔH_f (0 K) (eV/atom) = -0.344


[4]
# In3Hg5Bi | the Alexandria database | GGA-PBE | optimized geometry
data_In3Hg5Bi
_chemical_formula_sum 'In6 Hg10 Bi2'
_cell_length_a 6.658
_cell_length_b 8.197
_cell_length_c 9.440
_cell_angle_alpha 80.55
_cell_angle_beta 87.39
_cell_angle_gamma 86.38
_symmetry_space_group_name_H-M 'P 1'
_symmetry_Int_Tables_number 1
loop_
_symmetry_equiv_pos_as_xyz
'x,y,z'
loop_
_atom_site_label
_atom_site_type_symbol
_atom_site_fract_x
_atom_site_fract_y
_atom_site_fract_z
_atom_site_occupancy
In1 In 0.000 0.000 0.000 1
In2 In 0.021 0.377 0.136 1
In3 In 0.083 0.663 0.588 1
In4 In 0.518 0.705 0.205 1
In5 In 0.576 0.991 0.658 1
In6 In 0.598 0.368 0.793 1
Hg1 Hg 0.023 0.693 0.262 1
Hg2 Hg 0.076 0.020 0.646 1
Hg3 Hg 0.100 0.331 0.812 1
Hg4 Hg 0.277 0.027 0.315 1
Hg5 Hg 0.322 0.341 0.479 1
Hg6 Hg 0.497 0.037 0.981 1
Hg7 Hg 0.521 0.348 0.147 1
Hg8 Hg 0.579 0.675 0.531 1
Hg9 Hg 0.779 0.028 0.318 1
Hg10 Hg 0.819 0.339 0.475 1
Bi1 Bi 0.299 0.684 0.897 1
Bi2 Bi 0.800 0.684 0.896 1
# - total magnetization (μB/f.u.) = 0.0
# - uncorrected energy (eV per cell) = -26.9
# - ΔH_f (0 K) (eV/atom) = 0.015
# - distance to the lowest polymorph of the same formula (eV per formula unit) = 0.00


[5]
# CePd5Au3 | the Alexandria database | GGA-PBE | optimized geometry
data_CePd5Au3
_chemical_formula_sum 'Ce4 Pd20 Au12'
_cell_length_a 6.931
_cell_length_b 6.931
_cell_length_c 14.302
_cell_angle_alpha 90.00
_cell_angle_beta 90.00
_cell_angle_gamma 90.00
_symmetry_space_group_name_H-M 'I 4/m c m'
_symmetry_Int_Tables_number 140
_symmetry_space_group_name_Hall '-I 4 2c'
loop_
_atom_site_label
_atom_site_type_symbol
_atom_site_fract_x
_atom_site_fract_y
_atom_site_fract_z
_atom_site_occupancy
Ce1 Ce 0.000 0.500 0.250 1
Pd1 Pd 0.000 0.000 0.000 1
Pd2 Pd 0.207 0.293 0.145 1
Au1 Au 0.000 0.000 0.250 1
Au2 Au 0.130 0.370 0.500 1
# - total magnetization (μB/f.u.) = 0.0
# - uncorrected energy (eV per cell) = -171.9
# - ΔH_f (0 K) (eV/atom) = -0.139


[6]
# YHgPb3 | the Alexandria database | GGA-PBE | optimized geometry
data_YHgPb3
_chemical_formula_sum 'Y2 Hg2 Pb6'
_cell_length_a 5.316
_cell_length_b 6.401
_cell_length_c 9.092
_cell_angle_alpha 90.00
_cell_angle_beta 106.87
_cell_angle_gamma 90.00
_symmetry_space_group_name_H-M 'P 1 21/m 1'
_symmetry_Int_Tables_number 11
loop_
_symmetry_equiv_pos_as_xyz
'x,y,z'
'-x,-y,-z'
'-x,y+1/2,-z'
'x,-y+1/2,z'
loop_
_atom_site_label
_atom_site_type_symbol
_atom_site_fract_x
_atom_site_fract_y
_atom_site_fract_z
_atom_site_occupancy
Y1 Y 0.057 0.250 0.115 1
Hg1 Hg 0.339 0.750 0.673 1
Pb1 Pb 0.142 0.750 0.272 1
Pb2 Pb 0.246 0.250 0.499 1
Pb3 Pb 0.500 0.000 0.000 1
# - total magnetization (μB/f.u.) = 0.0
# - uncorrected energy (eV per cell) = -37.5
# - ΔH_f (0 K) (eV/atom) = -0.173
# - distance to the lowest polymorph of the same formula (eV per formula unit) = 0.00


[7]
# NaLaCdPt2 | the Alexandria database | GGA-PBE | optimized geometry
data_NaLaCdPt2
_chemical_formula_sum 'Na1 La1 Cd1 Pt2'
_cell_length_a 5.023
_cell_length_b 5.023
_cell_length_c 4.707
_cell_angle_alpha 90.00
_cell_angle_beta 90.00
_cell_angle_gamma 90.00
_symmetry_space_group_name_H-M 'P 4/m m m'
_symmetry_Int_Tables_number 123
_symmetry_space_group_name_Hall '-P 4 2'
loop_
_atom_site_label
_atom_site_type_symbol
_atom_site_fract_x
_atom_site_fract_y
_atom_site_fract_z
_atom_site_occupancy
Na1 Na 0.000 0.000 0.000 1
La1 La 0.500 0.500 0.500 1
Cd1 Cd 0.000 0.000 0.500 1
Pt1 Pt 0.000 0.500 0.000 1
# - total magnetization (μB/f.u.) = 0.0
# - uncorrected energy (eV per cell) = -18.5
# - ΔH_f (0 K) (eV/atom) = 0.156


[8]
# Tl3IrCl6 | the Alexandria database | GGA-PBE | optimized geometry
data_Tl3IrCl6
_chemical_formula_sum 'Tl12 Ir4 Cl24'
_cell_length_a 9.063
_cell_length_b 11.006
_cell_length_c 12.677
_cell_angle_alpha 90.00
_cell_angle_beta 90.00
_cell_angle_gamma 90.00
_symmetry_space_group_name_H-M 'F m m m'
_symmetry_Int_Tables_number 69
_symmetry_space_group_name_Hall '-F 2 2'
loop_
_atom_site_label
_atom_site_type_symbol
_atom_site_fract_x
_atom_site_fract_y
_atom_site_fract_z
_atom_site_occupancy
Tl1 Tl 0.000 0.000 0.000 1
Tl2 Tl 0.250 0.250 0.250 1
Ir1 Ir 0.000 0.000 0.500 1
Cl1 Cl 0.000 0.217 0.500 1
Cl2 Cl 0.184 0.000 0.369 1
# - total magnetization (μB/f.u.) = 0.0
# - uncorrected energy (eV per cell) = -138.8
# - distance to the lowest polymorph of the same formula (eV per formula unit) = 0.42